No. 1
Compound: Pr2NdY3
Source: the Alexandria database
Functional: PBE-GGA
Structure: relaxed

The space group is Pnnm (No. 58) and the conventional cell measures 6.727, 17.899 and 3.446 Å, with angles of 90.00, 90.00 and 90.00 degrees. The distinct sites, in fractional coordinates, are Pr at (0.231, 0.151, 0.000), Nd at (0.000, 0.500, 0.500), Y at (0.000, 0.000, 0.500) and Y at (0.236, 0.321, 0.500).

For the magnetization, the calculation gives 0.00 μB per formula unit. For the energy above the most stable polymorph in this dataset, the calculation gives 0.184 eV/atom.

---

No. 2
Compound: Ca2ZrBr
Source: the Alexandria database
Functional: PBE-GGA
Structure: relaxed

The space group is I4/mmm (No. 139) and the conventional cell measures 4.878, 4.878 and 10.418 Å, with angles of 90.00, 90.00 and 90.00 degrees. The distinct sites, in fractional coordinates, are Ca at (0.000, 0.500, 0.250), Zr at (0.000, 0.000, 0.000) and Br at (0.000, 0.000, 0.500).

As for the formation energy (no corrections): 193 meV/atom. For the magnetization, the calculation gives 3.23 μB per formula unit. For the energy above the most stable polymorph in this dataset, the calculation gives 0.667 eV/atom.

---

No. 3
Compound: DyHf2Al
Source: the Alexandria database
Functional: PBE-GGA
Structure: relaxed

The space group is P4/mmm (No. 123) and the conventional cell measures 3.157, 3.157 and 9.012 Å, with angles of 90.00, 90.00 and 90.00 degrees. The distinct sites, in fractional coordinates, are Dy at (0.000, 0.000, 0.000), Hf at (0.500, 0.500, 0.284) and Al at (0.000, 0.000, 0.500).

For the magnetization, the calculation gives 0.00 μB per formula unit. For the energy above the most stable polymorph in this dataset, the calculation gives 0.068 eV/atom.

---

No. 4
Compound: Ce2PmTe3
Source: the Alexandria database
Functional: PBE-GGA
Structure: relaxed

The space group is Immm (No. 71) and the conventional cell measures 4.447, 6.340 and 13.553 Å, with angles of 90.00, 90.00 and 90.00 degrees. The distinct sites, in fractional coordinates, are Ce at (0.000, 0.000, 0.167), Pm at (0.000, 0.000, 0.500), Te at (0.000, 0.500, 0.166) and Te at (0.000, 0.500, 0.500).

As for the formation energy (no corrections): -1385 meV/atom. For the magnetization, the calculation gives 2.45 μB per formula unit.

---

no.,N(E_F) (states/eV per cell)
1,19.14
2,9.64
3,5.23
4,30.14